TlVSN2, relaxed, DFT PBE; total magnetization = 0.42 μB/f.u.; energy relative to the lowest polymorph listed for this composition = 0 meV per atom; formation energy from raw total energies = 0.244 eV/atom; total DFT energy (no corrections) = -6.208 eV/atom; calculated volume = 15.120 A^3/atom
1.0
3.840 0.000 0.000
0.000 3.840 0.000
0.000 0.000 5.128
Tl N S V
1 2 1 1
Direct
0.500 0.500 0.500
0.000 0.500 0.000
0.500 0.000 0.000
0.000 0.000 0.500
0.000 0.000 0.000

TlVSN2, relaxed, DFT PBE; total magnetization = 2.83 μB/f.u.; energy relative to the lowest polymorph listed for this composition = 1847 meV per atom; formation energy from raw total energies = 2.091 eV/atom; total DFT energy (no corrections) = -4.361 eV/atom; calculated volume = 19.050 A^3/atom
1.0
4.166 0.000 0.000
0.000 4.166 0.000
0.000 0.000 5.489
Tl N S V
1 2 1 1
Direct
0.000 0.000 0.000
0.000 0.500 0.000
0.500 0.000 0.000
0.000 0.000 0.500
0.500 0.500 0.500

YTlS2N, relaxed, DFT PBE; total magnetization = 3.00 μB/f.u.; energy relative to the lowest polymorph listed for this composition = 0 meV per atom; formation energy from raw total energies = -0.135 eV/atom; total DFT energy (no corrections) = -5.217 eV/atom; calculated volume = 26.928 A^3/atom
1.0
5.364 0.000 0.000
0.000 5.364 0.000
0.000 0.000 4.680
Y Tl S N
1 1 2 1
Direct
0.000 0.000 0.000
0.500 0.500 0.500
0.000 0.500 0.000
0.500 0.000 0.000
0.000 0.000 0.500

YTlS2N, relaxed, DFT PBE; total magnetization = 0.98 μB/f.u.; energy relative to the lowest polymorph listed for this composition = 460 meV per atom; formation energy from raw total energies = 0.325 eV/atom; total DFT energy (no corrections) = -4.757 eV/atom; calculated volume = 22.129 A^3/atom
1.0
-4.417 -2.486 -0.923
0.216 -2.124 4.688
-2.139 3.221 1.558
Y Tl S N
1 1 2 1
Direct
0.500 0.500 0.500
0.000 0.000 0.000
0.000 0.500 0.000
0.500 0.000 0.000
0.000 0.000 0.500

Y8Tl3S3N, relaxed, DFT PBE; total magnetization = 0.00 μB/f.u.; formation energy from raw total energies = -1.118 eV/atom; total DFT energy (no corrections) = -6.419 eV/atom; calculated volume = 26.064 A^3/atom
1.0
-2.346 0.885 7.220
2.386 -6.845 -2.438
6.407 6.032 1.344
Y Tl S N
8 3 3 1
Direct
0.266 0.532 0.298
0.734 0.468 0.702
0.787 0.574 0.314
0.213 0.426 0.686
0.787 0.027 0.314
0.213 0.973 0.686
0.240 0.027 0.314
0.760 0.973 0.686
0.000 0.000 0.000
0.000 0.500 0.000
0.500 0.500 0.000
0.500 0.000 0.500
0.500 0.500 0.500
0.000 0.500 0.500
0.000 0.000 0.500

TlZnSN2, relaxed, DFT PBE; total magnetization = 3.12 μB/f.u.; energy relative to the lowest polymorph listed for this composition = 509 meV per atom; formation energy from raw total energies = 1.799 eV/atom; total DFT energy (no corrections) = -3.085 eV/atom; calculated volume = 20.891 A^3/atom
1.0
-3.858 -1.656 -0.679
1.709 -3.888 -0.228
-0.721 -0.651 5.692
S Tl Zn N
1 1 1 2
Direct
0.000 0.000 0.500
0.000 0.000 0.000
0.500 0.500 0.500
0.000 0.500 0.000
0.500 0.000 0.000

TlZnSN2, relaxed, DFT PBE; total magnetization = 3.47 μB/f.u.; energy relative to the lowest polymorph listed for this composition = 0 meV per atom; formation energy from raw total energies = 1.290 eV/atom; total DFT energy (no corrections) = -3.594 eV/atom; calculated volume = 17.456 A^3/atom
1.0
4.027 0.000 0.000
0.000 4.027 0.000
0.000 0.000 5.381
S Tl Zn N
1 1 1 2
Direct
0.000 0.000 0.500
0.500 0.500 0.500
0.000 0.000 0.000
0.000 0.500 0.000
0.500 0.000 0.000

ZrTlSN2, relaxed, DFT PBE; total magnetization = 0.78 μB/f.u.; energy relative to the lowest polymorph listed for this composition = 0 meV per atom; formation energy from raw total energies = 0.181 eV/atom; total DFT energy (no corrections) = -6.158 eV/atom; calculated volume = 19.151 A^3/atom
1.0
4.192 0.000 0.000
0.000 4.192 0.000
0.000 0.000 5.449
Tl S Zr N
1 1 1 2
Direct
0.500 0.500 0.500
0.000 0.000 0.500
0.000 0.000 0.000
0.000 0.500 0.000
0.500 0.000 0.000

ZrTlS2N, relaxed, DFT PBE; total magnetization = 1.94 μB/f.u.; energy relative to the lowest polymorph listed for this composition = 0 meV per atom; formation energy from raw total energies = -0.342 eV/atom; total DFT energy (no corrections) = -5.841 eV/atom; calculated volume = 22.721 A^3/atom
1.0
5.148 0.000 0.000
0.000 5.148 0.000
0.000 0.000 4.287
Tl S Zr N
1 2 1 1
Direct
0.500 0.500 0.500
0.000 0.500 0.000
0.500 0.000 0.000
0.000 0.000 0.000
0.000 0.000 0.500

ZrTlSN2, relaxed, DFT PBE; total magnetization = 0.00 μB/f.u.; energy relative to the lowest polymorph listed for this composition = 1172 meV per atom; formation energy from raw total energies = 1.353 eV/atom; total DFT energy (no corrections) = -4.986 eV/atom; calculated volume = 17.706 A^3/atom
1.0
4.145 0.000 0.000
0.000 4.145 0.000
0.000 0.000 5.154
Tl S Zr N
1 1 1 2
Direct
0.000 0.000 0.000
0.000 0.000 0.500
0.500 0.500 0.500
0.000 0.500 0.000
0.500 0.000 0.000

ZrTlS2N, relaxed, DFT PBE; total magnetization = 0.00 μB/f.u.; energy relative to the lowest polymorph listed for this composition = 1300 meV per atom; formation energy from raw total energies = 0.958 eV/atom; total DFT energy (no corrections) = -4.540 eV/atom; calculated volume = 20.873 A^3/atom
1.0
-4.929 -1.157 -0.336
0.414 -2.955 4.105
-0.904 3.163 2.368
Tl S Zr N
1 2 1 1
Direct
0.000 0.000 0.000
0.000 0.500 0.000
0.500 0.000 0.000
0.500 0.500 0.500
0.000 0.000 0.500

TmSN2, relaxed, DFT PBE; total magnetization = 0.00 μB/f.u.; formation energy from raw total energies = -0.730 eV/atom; total DFT energy (no corrections) = -7.043 eV/atom; calculated volume = 20.007 A^3/atom
1.0
1.044 1.936 -3.252
2.024 -4.524 -2.043
-7.267 -2.573 -1.501
Tm S N
2 2 4
Direct
0.806 0.750 0.113
0.194 0.250 0.887
0.809 0.250 0.119
0.191 0.750 0.881
0.417 0.641 0.336
0.583 0.359 0.664
0.417 0.859 0.336
0.583 0.141 0.664

Tm4S3N, relaxed, DFT PBE; total magnetization = 0.00 μB/f.u.; energy relative to the lowest polymorph listed for this composition = 133 meV per atom; formation energy from raw total energies = -1.737 eV/atom; total DFT energy (no corrections) = -6.562 eV/atom; calculated volume = 18.594 A^3/atom
1.0
-1.876 -2.596 -4.221
4.684 0.544 -2.416
1.617 -4.587 2.102
Tm S N
4 3 1
Direct
0.500 0.000 0.000
0.000 0.500 0.000
0.000 0.000 0.500
0.500 0.500 0.500
0.000 0.500 0.500
0.500 0.000 0.500
0.500 0.500 0.000
0.000 0.000 0.000

Tm5S4N, relaxed, DFT PBE; total magnetization = 0.00 μB/f.u.; formation energy from raw total energies = -1.851 eV/atom; total DFT energy (no corrections) = -6.570 eV/atom; calculated volume = 18.980 A^3/atom
1.0
-1.239 1.078 -3.383
0.477 -3.500 -1.290
-12.176 -1.835 5.963
Tm S N
5 4 1
Direct
0.085 0.085 0.170
0.500 0.500 0.000
0.915 0.915 0.830
0.297 0.297 0.593
0.703 0.703 0.407
0.400 0.400 0.800
0.805 0.805 0.611
0.195 0.195 0.389
0.600 0.600 0.200
0.000 0.000 0.000

Tm4SN3, relaxed, DFT PBE; total magnetization = 0.00 μB/f.u.; formation energy from raw total energies = -1.866 eV/atom; total DFT energy (no corrections) = -7.740 eV/atom; calculated volume = 15.353 A^3/atom
1.0
3.438 0.000 0.525
1.679 3.001 0.525
-0.056 -0.033 11.893
S Tm N
1 4 3
Direct
0.000 0.000 0.000
0.614 0.614 0.158
0.871 0.871 0.387
0.386 0.386 0.842
0.129 0.129 0.613
0.753 0.753 0.740
0.500 0.500 0.500
0.247 0.247 0.260

Tm5S5N, relaxed, DFT PBE; total magnetization = 0.00 μB/f.u.; formation energy from raw total energies = -1.956 eV/atom; total DFT energy (no corrections) = -6.621 eV/atom; calculated volume = 20.527 A^3/atom
1.0
5.347 0.000 0.000
-2.673 5.636 -1.954
0.000 0.050 7.476
Tm S N
5 5 1
Direct
0.850 0.700 0.158
0.846 0.692 0.688
0.500 0.000 0.000
0.154 0.308 0.312
0.150 0.300 0.842
0.674 0.347 0.333
0.666 0.333 0.832
0.000 0.000 0.500
0.334 0.667 0.168
0.326 0.653 0.667
0.000 0.000 0.000

Tm4S3N, relaxed, DFT PBE; total magnetization = 0.00 μB/f.u.; energy relative to the lowest polymorph listed for this composition = 0 meV per atom; formation energy from raw total energies = -1.870 eV/atom; total DFT energy (no corrections) = -6.694 eV/atom; calculated volume = 18.602 A^3/atom
1.0
-3.154 -0.352 1.878
-2.439 -3.705 -4.789
3.003 -3.866 4.319
S Tm N
3 4 1
Direct
0.000 0.000 0.500
0.500 0.500 0.500
0.000 0.500 0.000
0.000 0.216 0.216
0.500 0.772 0.228
0.000 0.784 0.784
0.500 0.228 0.772
0.500 0.000 0.000

TmUS2N, relaxed, DFT PBE; total magnetization = 1.72 μB/f.u.; formation energy from raw total energies = -1.757 eV/atom; total DFT energy (no corrections) = -8.225 eV/atom; calculated volume = 19.615 A^3/atom
1.0
3.790 0.000 0.000
0.000 3.790 0.000
0.000 0.000 13.655
Tm U S N
2 2 4 2
Direct
0.500 0.000 0.117
0.000 0.500 0.883
0.500 0.000 0.588
0.000 0.500 0.412
0.000 0.500 0.694
0.000 0.500 0.092
0.500 0.000 0.908
0.500 0.000 0.306
0.000 0.000 0.500
0.500 0.500 0.500

TmUSN2, relaxed, DFT PBE; total magnetization = 1.00 μB/f.u.; formation energy from raw total energies = -1.570 eV/atom; total DFT energy (no corrections) = -8.877 eV/atom; calculated volume = 16.752 A^3/atom
1.0
3.764 0.000 0.000
0.000 3.764 0.000
-1.882 -1.882 5.912
Tm U S N
1 1 1 2
Direct
0.848 0.848 0.697
0.158 0.158 0.316
0.503 0.503 0.006
0.745 0.245 0.491
0.245 0.745 0.491

U3S2N3, relaxed, DFT PBE; total magnetization = 6.68 μB/f.u.; formation energy from raw total energies = -0.658 eV/atom; total DFT energy (no corrections) = -9.045 eV/atom; calculated volume = 14.682 A^3/atom
1.0
3.173 0.000 0.000
0.000 3.651 0.000
-1.586 -1.826 10.139
U S N
3 2 3
Direct
0.136 0.136 0.272
0.000 0.500 0.000
0.864 0.864 0.728
0.751 0.251 0.502
0.249 0.749 0.498
0.610 0.610 0.220
0.390 0.390 0.780
0.500 0.000 0.000

U5S5N2, relaxed, DFT PBE; total magnetization = 12.50 μB/f.u.; formation energy from raw total energies = -1.403 eV/atom; total DFT energy (no corrections) = -9.213 eV/atom; calculated volume = 19.265 A^3/atom
1.0
3.707 0.000 0.000
-1.854 6.253 -0.060
0.000 -3.083 10.002
U S N
5 5 2
Direct
0.101 0.203 0.387
0.662 0.325 0.795
0.338 0.675 0.205
0.899 0.797 0.613
0.000 0.000 0.000
0.500 0.000 0.500
0.666 0.331 0.061
0.753 0.505 0.357
0.247 0.495 0.643
0.334 0.669 0.939
0.043 0.085 0.799
0.957 0.915 0.201

U2SN, relaxed, DFT PBE; total magnetization = 4.91 μB/f.u.; energy relative to the lowest polymorph listed for this composition = 629 meV per atom; formation energy from raw total energies = -0.559 eV/atom; total DFT energy (no corrections) = -9.317 eV/atom; calculated volume = 21.968 A^3/atom
1.0
-2.699 -2.353 0.806
0.636 -2.816 2.265
-2.664 2.557 6.900
S U N
1 2 1
Direct
0.500 0.500 0.500
0.089 0.089 0.734
0.911 0.911 0.266
0.000 0.000 0.000

USN, relaxed, DFT PBE; total magnetization = 0.93 μB/f.u.; energy relative to the lowest polymorph listed for this composition = 176 meV per atom; formation energy from raw total energies = -1.304 eV/atom; total DFT energy (no corrections) = -9.218 eV/atom; calculated volume = 16.200 A^3/atom
1.0
-1.388 3.056 -1.617
-2.025 -1.861 2.514
1.572 2.274 2.949
S U N
1 1 1
Direct
0.000 0.000 0.000
0.667 0.333 0.500
0.333 0.667 0.500

USN, relaxed, DFT PBE; total magnetization = 1.00 μB/f.u.; energy relative to the lowest polymorph listed for this composition = 228 meV per atom; formation energy from raw total energies = -1.252 eV/atom; total DFT energy (no corrections) = -9.166 eV/atom; calculated volume = 23.887 A^3/atom
1.0
3.763 0.000 -0.270
0.000 4.096 0.000
-1.056 0.000 9.375
U S N
2 2 2
Direct
0.306 0.250 0.122
0.694 0.750 0.878
0.893 0.250 0.313
0.107 0.750 0.687
0.741 0.250 0.980
0.259 0.750 0.020

U3S2N2, relaxed, DFT PBE; total magnetization = 7.20 μB/f.u.; formation energy from raw total energies = -1.395 eV/atom; total DFT energy (no corrections) = -9.790 eV/atom; calculated volume = 19.258 A^3/atom
1.0
3.780 -0.004 0.001
-1.883 6.231 -1.114
-0.004 -2.076 6.096
U S N
3 2 2
Direct
0.000 0.000 0.000
0.786 0.572 0.308
0.214 0.428 0.692
0.595 0.191 0.827
0.405 0.809 0.173
0.817 0.635 0.680
0.183 0.365 0.320

U2SN2, relaxed, DFT PBE; total magnetization = 3.95 μB/f.u.; formation energy from raw total energies = -1.583 eV/atom; total DFT energy (no corrections) = -10.254 eV/atom; calculated volume = 16.492 A^3/atom
1.0
-2.725 -1.289 -2.333
0.206 -1.284 3.583
-3.966 4.834 1.960
S U N
1 2 2
Direct
0.000 0.000 0.000
0.667 0.333 0.716
0.333 0.667 0.284
0.333 0.667 0.631
0.667 0.333 0.369